1.
Here is a relaxed structure of SmYInHg from Alexandria via LeMat-Bulk. Energies are from PBE-GGA.

Unit cell a=5.3598 b=5.3598 c=5.3598 alpha=60.00 beta=60.00 gamma=60.00
Closest atoms and distances in Å follow each position.
Atoms (fractional coordinates):
Sm  0.5000  0.5000  0.5000  4 Hg 3.28, 4 In 3.28
In  0.7500  0.7500  0.7500  4 Y 3.28, 4 Sm 3.28
Hg  0.2500  0.2500  0.2500  4 Sm 3.28, 4 Y 3.28
Y  0.0000  0.0000  0.0000  4 Hg 3.28, 4 In 3.28

Crystal system   cubic
Formation enthalpy at 0 K   -11.21 kcal/mol of atoms


2.
Here is a relaxed structure of Ga2PbBr6 from Alexandria via LeMat-Bulk. Energies are from PBE-GGA.

Unit cell a=7.0172 b=10.2009 c=10.2009 alpha=81.74 beta=84.33 gamma=84.33
Closest atoms and distances in Å follow each position.
Atoms (fractional coordinates):
Br  0.3934  0.7137  0.5831  2 Ga 2.51-2.53
Br  0.6066  0.2863  0.4169  2 Ga 2.51-2.53
Br  0.8934  0.5831  0.7137  2 Ga 2.51-2.53
Br  0.6519  0.5762  0.1323  1 Ga 2.33
Br  0.1365  0.8165  0.9575  2 Pb 2.84-3.03
Br  0.1066  0.4169  0.2863  2 Ga 2.51-2.53
Br  0.3481  0.4238  0.8677  1 Ga 2.33
Br  0.8481  0.8677  0.4238  1 Ga 2.33
Br  0.3635  0.0425  0.1835  2 Pb 2.84-3.03
Br  0.8635  0.1835  0.0425  2 Pb 2.84-3.03
Br  0.6365  0.9575  0.8165  2 Pb 2.84-3.03
Br  0.1519  0.1323  0.5762  1 Ga 2.33
Ga  0.7594  0.4994  0.3406  3 Br 2.33-2.53, 1 Ga 2.45
Ga  0.2594  0.3406  0.4994  3 Br 2.33-2.53, 1 Ga 2.45
Ga  0.2406  0.5006  0.6594  3 Br 2.33-2.53, 1 Ga 2.45
Ga  0.7406  0.6594  0.5006  3 Br 2.33-2.53, 1 Ga 2.45
Pb  0.2500  0.0795  0.9205  4 Br 2.84-3.03
Pb  0.7500  0.9205  0.0795  4 Br 2.84-3.03

Crystal system   monoclinic
Offset from the most stable computed form   0.0 meV per atom
ΔE_f (raw)   -774 meV/atom


3.
Here is a relaxed structure of Hf2FeCoW from Alexandria via LeMat-Bulk. Energies are from PBE-GGA.

Unit cell a=4.7046 b=4.3602 c=4.7046 alpha=90.00 beta=90.00 gamma=90.00
Closest atoms and distances in Å follow each position.
Atoms (fractional coordinates):
Hf  0.0000  0.0000  0.5000  2 Co 2.35
Hf  0.5000  0.0000  0.0000  2 Co 2.35
W  0.0000  0.5000  0.0000  2 Co 2.18
Fe  0.5000  0.5000  0.5000  8 Hf 3.21, 4 W 3.33
Co  0.0000  0.0000  0.0000  2 W 2.18, 4 Hf 2.35

Crystal system   tetragonal
Formation enthalpy at 0 K   18.75 kcal/mol of atoms


4.
Here is a relaxed structure of GaI2O2 from Alexandria via LeMat-Bulk. Energies are from PBE-GGA.

Unit cell a=5.9404 b=5.9404 c=3.4735 alpha=90.00 beta=90.00 gamma=90.00
Closest atoms and distances in Å follow each position.
Atoms (fractional coordinates):
O  0.5000  0.5000  0.5000  8 I 3.44, 2 O 3.47
O  0.0000  0.0000  0.5000  2 Ga 1.74
Ga  0.0000  0.0000  0.0000  2 O 1.74
I  0.0000  0.5000  0.0000  2 Ga 2.97
I  0.5000  0.0000  0.0000  2 Ga 2.97

Crystal system   tetragonal
Offset from the most stable computed form   166.3 meV per atom
ΔE_f (raw)   141 meV/atom


5.
Here is a relaxed structure of CaNiRh from Alexandria via LeMat-Bulk. Energies are from PBE-GGA.

Unit cell a=5.6735 b=4.1741 c=10.4720 alpha=90.00 beta=110.66 gamma=90.00
Closest atoms and distances in Å follow each position.
Atoms (fractional coordinates):
Ca  0.0981  0.5000  0.6576  5 Ni 2.96-3.04, 5 Rh 3.07-3.19
Ca  0.0981  0.0000  0.1576  5 Ni 2.96-3.04, 5 Rh 3.07-3.19
Ca  0.4952  0.5000  0.4324  5 Rh 2.98-3.06, 5 Ni 3.14-3.20
Ca  0.4952  0.0000  0.9324  5 Rh 2.98-3.06, 5 Ni 3.14-3.20
Ni  0.6708  0.5000  0.7579  4 Rh 2.48-2.51, 1 Ni 2.51
Ni  0.0920  0.0000  0.4464  3 Rh 2.40-2.42, 1 Ni 2.51
Ni  0.0920  0.5000  0.9464  3 Rh 2.40-2.42, 1 Ni 2.51
Ni  0.6708  0.0000  0.2579  4 Rh 2.48-2.51, 1 Ni 2.51
Rh  0.4814  0.0000  0.6379  3 Ni 2.40-2.48, 1 Rh 2.63
Rh  0.9271  0.5000  0.3334  4 Ni 2.42-2.51, 1 Rh 2.63
Rh  0.4814  0.5000  0.1379  3 Ni 2.40-2.48, 1 Rh 2.63
Rh  0.9271  0.0000  0.8334  4 Ni 2.42-2.51, 1 Rh 2.63

Crystal system   monoclinic
Formation enthalpy at 0 K   -3.81 kcal/mol of atoms


6.
Here is a relaxed structure of K2BeGeW from Alexandria via LeMat-Bulk. Energies are from PBE-GGA.

Unit cell a=6.6799 b=4.8569 c=6.6799 alpha=90.00 beta=90.00 gamma=90.00
Closest atoms and distances in Å follow each position.
Atoms (fractional coordinates):
Ge  0.0000  0.5000  0.0000  2 W 2.43
K  0.0000  0.0000  0.5000  2 W 3.34
K  0.5000  0.0000  0.0000  2 W 3.34
Be  0.5000  0.5000  0.5000  8 K 4.13
W  0.0000  0.0000  0.0000  2 Ge 2.43

Crystal system   tetragonal
Formation enthalpy at 0 K   35.15 kcal/mol of atoms


7.
Here is a relaxed structure of K2Al2Si from Alexandria via LeMat-Bulk. Energies are from PBE-GGA.

Unit cell a=6.7781 b=6.7781 c=5.9044 alpha=90.00 beta=90.00 gamma=90.00
Closest atoms and distances in Å follow each position.
Atoms (fractional coordinates):
Al  0.6351  0.1351  0.0000  1 Al 2.59, 2 Si 2.64
Al  0.3649  0.8649  0.0000  1 Al 2.59, 2 Si 2.64
Al  0.8649  0.6351  0.0000  1 Al 2.59, 2 Si 2.64
Al  0.1351  0.3649  0.0000  1 Al 2.59, 2 Si 2.64
K  0.3117  0.1883  0.5000  6 Al 3.40-3.69, 5 K 3.49-3.61
K  0.8117  0.3117  0.5000  6 Al 3.40-3.69, 5 K 3.49-3.61
K  0.1883  0.6883  0.5000  6 Al 3.40-3.69, 5 K 3.49-3.61
K  0.6883  0.8117  0.5000  6 Al 3.40-3.69, 5 K 3.49-3.61
Si  0.0000  0.0000  0.0000  4 Al 2.64
Si  0.5000  0.5000  0.0000  4 Al 2.64

Crystal system   tetragonal
ΔE_f (raw)   229 meV/atom


8.
Here is a relaxed structure of KTl2IO6 from Alexandria via LeMat-Bulk. Energies are from PBE-GGA.

Unit cell a=5.8648 b=6.4321 c=8.7468 alpha=90.00 beta=90.01 gamma=90.00
Closest atoms and distances in Å follow each position.
Atoms (fractional coordinates):
O  0.8615  0.6707  0.1608  1 I 1.96
O  0.6385  0.1707  0.3392  1 I 1.96
O  0.3615  0.8293  0.6608  1 I 1.96
O  0.7284  0.3382  0.9986  1 I 1.90
O  0.2284  0.1618  0.4986  1 I 1.90
O  0.6398  0.1765  0.6567  1 I 1.96
O  0.8602  0.6765  0.8433  1 I 1.96
O  0.1398  0.3235  0.1567  1 I 1.96
O  0.3602  0.8235  0.3433  1 I 1.96
O  0.7716  0.8382  0.5014  1 I 1.90
O  0.1385  0.3293  0.8392  1 I 1.96
O  0.2716  0.6618  0.0014  1 I 1.90
I  0.0000  0.5000  0.0000  6 O 1.90-1.96
I  0.5000  0.0000  0.5000  6 O 1.90-1.96
Tl  0.4996  0.4984  0.2257  6 O 2.46-2.61
Tl  0.5004  0.5016  0.7743  6 O 2.46-2.61
Tl  0.9996  0.0016  0.7257  6 O 2.46-2.61
Tl  0.0004  0.9984  0.2743  6 O 2.46-2.61
K  0.0000  0.5000  0.5000  2 O 2.55
K  0.5000  0.0000  0.0000  2 O 2.55

Crystal system   monoclinic
ΔE_f (raw)   -665 meV/atom


9.
Here is a relaxed structure of Ac12Nd3Cd from Alexandria via LeMat-Bulk. Energies are from PBE-GGA.

Unit cell a=5.4827 b=5.4827 c=22.1067 alpha=90.00 beta=90.00 gamma=90.00
Closest atoms and distances in Å follow each position.
Atoms (fractional coordinates):
Cd  0.0000  0.0000  0.0000  12 Ac 3.85-3.88
Ac  0.5000  0.0000  0.3736  8 Ac 3.88-3.92, 4 Nd 3.92
Ac  0.0000  0.5000  0.1220  2 Cd 3.85, 8 Ac 3.85-3.90, 2 Nd 3.89
Ac  0.0000  0.5000  0.6264  8 Ac 3.88-3.92, 4 Nd 3.92
Ac  0.5000  0.0000  0.1220  8 Ac 3.85-3.90, 2 Cd 3.85, 2 Nd 3.89
Ac  0.5000  0.5000  0.0000  8 Ac 3.85, 4 Cd 3.88
Ac  0.0000  0.5000  0.8780  8 Ac 3.85-3.90, 2 Cd 3.85, 2 Nd 3.89
Ac  0.5000  0.0000  0.8780  8 Ac 3.85-3.90, 2 Cd 3.85, 2 Nd 3.89
Ac  0.5000  0.0000  0.6264  8 Ac 3.88-3.92, 4 Nd 3.92
Ac  0.5000  0.5000  0.2473  4 Nd 3.88, 8 Ac 3.90-3.91
Ac  0.5000  0.5000  0.7527  4 Nd 3.88, 8 Ac 3.90-3.91
Ac  0.5000  0.5000  0.5000  4 Nd 3.88, 8 Ac 3.92
Ac  0.0000  0.5000  0.3736  8 Ac 3.88-3.92, 4 Nd 3.92
Nd  0.0000  0.0000  0.2469  12 Ac 3.88-3.92
Nd  0.0000  0.0000  0.7531  12 Ac 3.88-3.92
Nd  0.0000  0.0000  0.5000  12 Ac 3.88-3.92

Crystal system   tetragonal
Formation enthalpy at 0 K   0.12 kcal/mol of atoms


10.
Here is a relaxed structure of Na4Hg2Bi5 from Alexandria via LeMat-Bulk. Energies are from PBE-GGA.

Unit cell a=3.4118 b=8.5791 c=10.9710 alpha=95.84 beta=90.00 gamma=90.00
Closest atoms and distances in Å follow each position.
Atoms (fractional coordinates):
Na  0.5000  0.1689  0.8811  2 Hg 3.28, 2 Na 3.41, 6 Bi 3.45-3.55
Na  0.5000  0.2621  0.4431  4 Hg 3.26-3.33, 2 Na 3.41, 6 Bi 3.48-3.53
Na  0.5000  0.7379  0.5569  4 Hg 3.26-3.33, 2 Na 3.41, 6 Bi 3.48-3.53
Na  0.5000  0.8311  0.1189  2 Hg 3.28, 2 Na 3.41, 6 Bi 3.45-3.55
Bi  0.0000  0.5499  0.3016  4 Bi 3.29-3.41, 1 Hg 3.30, 4 Na 3.49-3.53
Bi  0.0000  0.8121  0.8335  1 Hg 3.28, 4 Bi 3.30-3.41, 6 Na 3.48-3.55
Bi  0.0000  0.4501  0.6984  4 Bi 3.29-3.41, 1 Hg 3.30, 4 Na 3.49-3.53
Bi  0.0000  0.5000  0.0000  6 Bi 3.29-3.41, 4 Na 3.45
Bi  0.0000  0.1879  0.1665  1 Hg 3.28, 4 Bi 3.30-3.41, 6 Na 3.48-3.55
Hg  0.0000  0.0670  0.6303  1 Hg 2.97, 6 Na 3.26-3.33, 2 Bi 3.28-3.30
Hg  0.0000  0.9330  0.3697  1 Hg 2.97, 6 Na 3.26-3.33, 2 Bi 3.28-3.30

Crystal system   monoclinic
Formation enthalpy at 0 K   -5.02 kcal/mol of atoms


11.
Here is a relaxed structure of RbLa2H from Alexandria via LeMat-Bulk. Energies are from PBE-GGA.

Unit cell a=7.7891 b=7.7891 c=7.4073 alpha=58.28 beta=58.28 gamma=90.00
Closest atoms and distances in Å follow each position.
Atoms (fractional coordinates):
La  0.3173  0.6250  0.2500  2 H 2.35
La  0.3750  0.5673  0.7500  2 H 2.35
La  0.8750  0.6827  0.7500  2 H 2.35
La  0.4327  0.1250  0.2500  2 H 2.35
Rb  0.7500  0.2500  0.5000  8 La 4.15-4.22, 4 Rb 4.62, 4 H 4.62
Rb  0.0000  0.0000  0.0000  8 La 4.15-4.22, 4 Rb 4.62, 4 H 4.62
H  0.2500  0.7500  0.5000  4 La 2.35
H  0.5000  0.5000  0.0000  4 La 2.35

Crystal system   tetragonal
Offset from the most stable computed form   134.0 meV per atom


12.
Here is a relaxed structure of Tm5Cu4Os from Alexandria via LeMat-Bulk. Energies are from PBE-GGA.

Unit cell a=3.3846 b=3.3846 c=17.2737 alpha=90.00 beta=90.00 gamma=90.00
Closest atoms and distances in Å follow each position.
Atoms (fractional coordinates):
Tm  0.5000  0.5000  0.7013  8 Cu 2.93-2.97
Tm  0.5000  0.5000  0.9046  4 Os 2.91, 4 Cu 3.00
Tm  0.5000  0.5000  0.2987  8 Cu 2.93-2.97
Tm  0.5000  0.5000  0.0954  4 Os 2.91, 4 Cu 3.00
Tm  0.5000  0.5000  0.5000  8 Cu 2.95
Cu  0.0000  0.0000  0.4002  8 Tm 2.95-2.97
Cu  0.0000  0.0000  0.5998  8 Tm 2.95-2.97
Cu  0.0000  0.0000  0.7995  8 Tm 2.93-3.00
Cu  0.0000  0.0000  0.2005  8 Tm 2.93-3.00
Os  0.0000  0.0000  0.0000  8 Tm 2.91

Crystal system   tetragonal
Formation enthalpy at 0 K   -6.98 kcal/mol of atoms


13.
Here is a relaxed structure of La3HoRh2 from Alexandria via LeMat-Bulk. Energies are from PBE-GGA.

Unit cell a=4.9748 b=4.6119 c=8.0054 alpha=106.67 beta=107.98 gamma=90.00
Closest atoms and distances in Å follow each position.
Atoms (fractional coordinates):
Rh  0.6268  0.1277  0.2577  1 La 2.60
Rh  0.3732  0.8723  0.7423  1 La 2.60
La  0.1924  0.6924  0.3838  1 Rh 2.60
La  0.8076  0.3076  0.6162  1 Rh 2.60
La  0.5000  0.5000  0.0000  4 Rh 2.97
Ho  0.0000  0.0000  0.0000  4 Rh 3.11-3.12, 4 La 3.39

Crystal system   triclinic
Formation enthalpy at 0 K   -11.99 kcal/mol of atoms


14.
Here is a relaxed structure of TaVCu2Ag from Alexandria via LeMat-Bulk. Energies are from PBE-GGA.

Unit cell a=4.6403 b=4.9793 c=4.6403 alpha=90.00 beta=90.00 gamma=90.00
Closest atoms and distances in Å follow each position.
Atoms (fractional coordinates):
Ag  0.0000  0.5000  0.0000  2 Ta 2.49
Cu  0.0000  0.0000  0.5000  2 Ta 2.32
Cu  0.5000  0.0000  0.0000  2 Ta 2.32
Ta  0.0000  0.0000  0.0000  4 Cu 2.32, 2 Ag 2.49
V  0.5000  0.5000  0.5000  4 Ag 3.28, 8 Cu 3.40

Crystal system   tetragonal
Formation enthalpy at 0 K   43.74 kcal/mol of atoms


15.
Here is a relaxed structure of KCu2NiSn from Alexandria via LeMat-Bulk. Energies are from PBE-GGA.

Unit cell a=4.8461 b=4.7036 c=4.8461 alpha=90.00 beta=90.00 gamma=90.00
Closest atoms and distances in Å follow each position.
Atoms (fractional coordinates):
Cu  0.5000  0.0000  0.0000  2 Ni 2.42
Cu  0.0000  0.0000  0.5000  2 Ni 2.42
Ni  0.0000  0.0000  0.0000  2 Sn 2.35, 4 Cu 2.42
K  0.5000  0.5000  0.5000  8 Cu 3.38, 4 Sn 3.43
Sn  0.0000  0.5000  0.0000  2 Ni 2.35

Crystal system   tetragonal
Formation enthalpy at 0 K   6.74 kcal/mol of atoms


16.
Here is a relaxed structure of BaTl2Tc from Alexandria via LeMat-Bulk. Energies are from PBE-GGA.

Unit cell a=9.9998 b=9.9998 c=9.9998 alpha=21.33 beta=21.33 gamma=21.33
Closest atoms and distances in Å follow each position.
Atoms (fractional coordinates):
Tl  0.0131  0.0131  0.0131  3 Tc 2.80
Tl  0.2605  0.2605  0.2605  3 Tl 3.30
Tc  0.7417  0.7417  0.7417  3 Tl 2.80, 3 Ba 3.09
Ba  0.4846  0.4846  0.4846  3 Tc 3.09

Crystal system   trigonal
Offset from the most stable computed form   315.4 meV per atom
Formation enthalpy at 0 K   15.37 kcal/mol of atoms


17.
Here is a relaxed structure of NaCr2ReBr from Alexandria via LeMat-Bulk. Energies are from PBE-GGA.

Unit cell a=5.1561 b=4.7591 c=5.1561 alpha=90.00 beta=90.00 gamma=90.00
Closest atoms and distances in Å follow each position.
Atoms (fractional coordinates):
Na  0.0000  0.0000  0.0000  2 Br 2.38, 4 Cr 2.58
Cr  0.5000  0.0000  0.0000  2 Na 2.58
Cr  0.0000  0.0000  0.5000  2 Na 2.58
Br  0.0000  0.5000  0.0000  2 Na 2.38
Re  0.5000  0.5000  0.5000  8 Cr 3.51, 4 Br 3.65

Crystal system   tetragonal
ΔE_f (raw)   2039 meV/atom


18.
Here is a relaxed structure of Gd2LuAu from Alexandria via LeMat-Bulk. Energies are from PBE-GGA.

Unit cell a=3.6206 b=3.6206 c=8.5098 alpha=90.00 beta=90.00 gamma=90.00
Closest atoms and distances in Å follow each position.
Atoms (fractional coordinates):
Gd  0.0000  0.0000  0.2127  4 Au 3.14
Gd  0.0000  0.0000  0.7873  4 Au 3.14
Lu  0.5000  0.5000  0.5000  8 Gd 3.54, 4 Lu 3.62
Au  0.5000  0.5000  0.0000  8 Gd 3.14

Crystal system   tetragonal
Offset from the most stable computed form   0.0 meV per atom
Formation enthalpy at 0 K   -8.66 kcal/mol of atoms


19.
Here is a relaxed structure of LiZrRh2 from Alexandria via LeMat-Bulk. Energies are from PBE-GGA.

Unit cell a=5.0290 b=5.0290 c=3.8269 alpha=67.64 beta=67.64 gamma=44.53
Closest atoms and distances in Å follow each position.
Atoms (fractional coordinates):
Rh  0.0000  0.0000  0.0000  4 Zr 2.70, 4 Li 2.85-2.86, 4 Rh 2.85-2.86
Rh  0.7501  0.7501  0.7499  4 Li 2.70, 4 Zr 2.85-2.86, 4 Rh 2.85-2.86
Zr  0.4998  0.4998  0.5002  8 Rh 2.70-2.86, 4 Li 2.85-2.86
Li  0.2501  0.2501  0.2499  8 Rh 2.70-2.86, 4 Zr 2.85-2.86

Crystal system   orthorhombic
Formation enthalpy at 0 K   -10.56 kcal/mol of atoms


20.
Here is a relaxed structure of Ti2FePtSe from Alexandria via LeMat-Bulk. Energies are from PBE-GGA.

Unit cell a=4.6317 b=4.2405 c=4.6317 alpha=90.00 beta=90.00 gamma=90.00
Closest atoms and distances in Å follow each position.
Atoms (fractional coordinates):
Pt  0.5000  0.5000  0.5000  8 Ti 3.14, 4 Fe 3.28
Ti  0.5000  0.0000  0.0000  2 Se 2.32
Ti  0.0000  0.0000  0.5000  2 Se 2.32
Fe  0.0000  0.5000  0.0000  2 Se 2.12
Se  0.0000  0.0000  0.0000  2 Fe 2.12, 4 Ti 2.32

Crystal system   tetragonal
ΔE_f (raw)   167 meV/atom